P | Computed, not measured: a relaxed structure of ZnAsRh3 at the PBEsol level of DFT.

The structure in extended XYZ format:
```
5
Lattice="4.439 0.000 0.000 0.000 4.439 0.000 0.000 0.000 4.439" Properties=species:S:1:pos:R:3 pbc="T T T"
Rh 0.000 2.219 0.000
Rh 2.219 0.000 0.000
Rh 0.000 0.000 2.219
Zn 0.000 0.000 0.000
As 2.219 2.219 2.219
```

Results
As for the volume: 17.49 Å³ per atom. Its mass density is 8.5 g cm⁻³.

Q | Computed, not measured: a relaxed structure of ZnAsRh3 at the PBEsol level of DFT.

The structure in extended XYZ format:
```
5
Lattice="4.440 0.000 0.000 0.000 4.440 0.000 0.000 0.000 4.440" Properties=species:S:1:pos:R:3 pbc="T T T"
Rh 0.000 0.000 2.220
Rh 2.220 0.000 0.000
Rh 0.000 2.220 0.000
As 0.000 0.000 0.000
Zn 2.220 2.220 2.220
```

Results
As for the volume: 17.51 Å³ per atom. Its mass density is 8.5 g cm⁻³.

Energy ordering: Q at the bottom, the next structure 0.679 eV/atom above.